Entry 1:
Compound: Tm2PuSe
Source: the Alexandria database
Functional: PBE
Structure: optimized geometry

The calculation puts the formation energy (no corrections) at -1.7 eV/f.u. As for the crystal system: trigonal.

Cell: 3.6181 3.6181 30.6875 Å, 90.00 90.00 120.00°
Space group R-3m (No. 166, hexagonal axes)
Inequivalent atoms, fractional coordinates:
Tm (0.0000, 0.0000, 0.1066) x6
Pu (0.0000, 0.0000, 0.0000) x3
Se (0.0000, 0.0000, 0.5000) x3

***

Entry 2:
Compound: RbPmAg2Cl6
Source: the Alexandria database
Functional: PBE
Structure: optimized geometry

The calculation puts the formation energy (no corrections) at -14.7 eV/f.u. As for the crystal system: trigonal.

Cell: 7.2263 7.2263 19.6322 Å, 90.00 90.00 120.00°
Space group R3 (No. 146, hexagonal axes)
Inequivalent atoms, fractional coordinates:
Rb (0.0000, 0.0000, 0.0000) x3
Pm (0.0000, 0.0000, 0.4772) x3
Ag (0.0000, 0.0000, 0.2804) x3
Ag (0.0000, 0.0000, 0.7963) x3
Cl (0.9996, 0.3312, 0.2107) x9
Cl (0.0168, 0.5865, 0.0518) x9

***

Entry 3:
Compound: LaCeNdTh
Source: the Alexandria database
Functional: PBE
Structure: optimized geometry

The total energy is -22.91 eV per cell. As for the crystal system: tetragonal.

Cell: 3.566 3.566 10.269 Å, 90.00 90.00 90.00°
Space group P4mm (No. 99)
Inequivalent atoms, fractional coordinates:
La (0.000, 0.000, 0.000) x1
Ce (0.000, 0.000, 0.472) x1
Nd (0.500, 0.500, 0.716) x1
Th (0.500, 0.500, 0.247) x1